Entry 1:
The following is a DFT calculation (meta-GGA SCAN) of BMo3S at its PBEsol-relaxed geometry.

Structure (POSCAR):
```
BMo3S
1.0
4.1503 0.0000 0.0000
0.0000 4.1503 0.0000
0.0000 0.0000 4.1503
Mo S B
3 1 1
Direct
0.0000 0.0000 0.5000
0.0000 0.5000 0.0000
0.5000 0.0000 0.0000
0.5000 0.5000 0.5000
0.0000 0.0000 0.0000
```

Its uncorrected formation energy is 17.38 kcal/mol of atoms. As for the space group: Pm-3m, No. 221.



Entry 2:
The following is a DFT calculation (meta-GGA SCAN) of PRuSe2 at its PBEsol-relaxed geometry.

Structure (POSCAR):
```
PRuSe2
1.0
-0.3004 2.9910 0.5233
-4.3265 -0.2205 -1.2233
-1.1613 -0.8625 4.2628
P Se Ru
1 2 1
Direct
0.5000 0.5000 0.5000
0.0000 0.5000 0.0000
0.0000 0.0000 0.5000
0.5000 0.0000 0.0000
```

Its uncorrected formation energy is 15.73 kcal/mol of atoms. As for the space group: P4/mmm, No. 123.



Entry 3:
The following is a DFT calculation (meta-GGA SCAN) of LuH3 at its PBEsol-relaxed geometry.

Structure (POSCAR):
```
LuH3
1.0
3.3957 0.0000 0.0000
-1.6978 3.0688 0.1350
0.0000 1.7507 2.9096
Lu H
1 3
Direct
0.0000 0.0000 0.0000
0.2500 0.5000 0.2500
0.5000 0.0000 0.5000
0.7500 0.5000 0.7500
```

As for the space group: I4/mmm, No. 139. The total energy comes out at -17.04 eV per atom.



| no. | M_tot (μB/f.u.) | N(E_F) (states/eV per atom) |
| --- | --- | --- |
| 1 | 0.0 | 1.208 |
| 2 | 0.0 | 0.610 |
| 3 | 0.0 | 0.044 |